DFT (PBE+U) results for a relaxed structure of PaCuNiO6.

As for the uncorrected energy: -0.245 hartree per atom. The crystal system is trigonal.

The space group is P312 (No. 149) and the conventional cell measures 5.0358, 5.0358 and 4.7341 Å, with angles of 90.00, 90.00 and 120.00 degrees. The inequivalent atoms are Pa at (0.0000, 0.0000, 0.0000), Cu at (0.3333, 0.6667, 0.5000), Ni at (0.6667, 0.3333, 0.5000) and O at (0.0087, 0.3546, 0.2709).